(1)
6
Lattice="4.924 2.566 0.370 2.542 4.936 0.370 -3.704 -3.722 4.713" Properties=species:S:1:pos:R:3 comment="CoPAu | Alexandria | PBE | optimized geometry" formation_enthalpy_0k_ev_per_atom=-0.0799 volume_a3_per_atom=15.06 dos_at_fermi_per_ev_fu=1.3 pbc="T T T"
P 2.068 2.078 1.646
P 1.694 1.702 3.806
Au 3.846 3.865 1.795
Au -0.085 -0.085 3.658
Co -2.523 -2.536 4.580
Co 6.285 6.315 0.872

=====

(2)
12
Lattice="3.591 0.000 0.000 0.000 7.170 0.263 -1.795 -2.058 7.520" Properties=species:S:1:pos:R:3 comment="Pm3PrPa2N6 | Alexandria | PBE | optimized geometry" raw_formation_energy_ev_per_atom=-1.540 volume_a3_per_atom=16.30 dos_at_fermi_per_ev_fu=4.3 pbc="T T T"
Pr 1.795 0.000 0.000
N 1.795 0.099 2.562
N 0.000 5.012 5.222
N 1.795 3.326 2.745
N 1.795 3.285 7.490
N 0.000 1.826 0.294
N 0.000 1.785 5.038
Pm 1.795 3.585 0.132
Pm 1.795 -0.200 5.054
Pm 0.000 5.311 2.730
Pa 0.000 1.687 2.589
Pa 1.795 3.425 5.195

=====

(3)
16
Lattice="3.662 0.000 0.000 0.000 7.146 0.000 0.000 0.000 9.977" Properties=species:S:1:pos:R:3 comment="Pu2GaCo | Alexandria | PBE | optimized geometry" formation_enthalpy_0k_ev_per_atom=-0.0284 volume_a3_per_atom=16.32 dos_at_fermi_per_ev_fu=7.7 pbc="T T T"
Pu 0.286 4.756 4.496
Pu 1.545 1.183 4.496
Pu 0.286 4.756 0.492
Pu 3.377 2.390 9.485
Pu 2.117 5.963 9.485
Pu 3.377 2.390 5.480
Pu 2.117 5.963 5.480
Pu 1.545 1.183 0.492
Ga 2.143 3.373 2.494
Ga 0.312 0.200 7.482
Ga 3.351 6.946 2.494
Ga 1.520 3.773 7.482
Co 0.271 2.006 2.494
Co 3.391 5.140 7.482
Co 1.560 5.579 2.494
Co 2.103 1.567 7.482

=====

(4)
16
Lattice="-3.152 -4.102 -3.160 -2.568 -2.454 5.746 -7.286 6.100 -0.651" Properties=species:S:1:pos:R:3 comment="Ce2ThCo | Alexandria | PBE | optimized geometry" formation_enthalpy_0k_ev_per_atom=-0.1548 volume_a3_per_atom=24.38 dos_at_fermi_per_ev_fu=7.5 de_polymorph_ev_per_atom=0.015 pbc="T T T"
Ce -2.028 -1.552 -0.289
Ce -8.217 -1.214 2.470
Ce -5.303 0.533 3.109
Ce -10.977 1.097 2.223
Ce -7.703 -0.989 -1.175
Ce -10.463 1.323 -1.421
Ce -2.542 -1.778 3.356
Ce -4.788 0.759 -0.535
Co -5.362 -2.292 3.697
Co -9.859 -0.603 0.177
Co -3.146 0.147 1.758
Co -7.644 1.836 -1.762
Th -8.304 1.718 4.522
Th -5.239 -2.429 1.033
Th -4.701 -2.173 -2.588
Th -7.767 1.974 0.902

=====

(5)
5
Lattice="-1.939 2.473 -3.303 -3.862 -2.309 0.539 -1.389 3.045 3.095" Properties=species:S:1:pos:R:3 comment="YAlAu2N | Alexandria | PBE | optimized geometry" raw_formation_energy_ev_per_atom=-0.044 volume_a3_per_atom=18.83 dos_at_fermi_per_ev_fu=3.6 pbc="T T T"
Au -0.969 1.236 -1.651
Au -0.694 1.522 1.548
N 0.000 0.000 0.000
Al -3.595 1.605 0.166
Y -1.931 -1.154 0.269

=====

(6)
8
Lattice="4.878 0.000 0.000 0.000 5.376 0.000 0.000 0.000 6.494" Properties=species:S:1:pos:R:3 comment="Sc3Cr | Alexandria | PBE | optimized geometry" formation_enthalpy_0k_ev_per_atom=0.1690 volume_a3_per_atom=21.29 dos_at_fermi_per_ev_fu=6.1 pbc="T T T"
Sc 2.439 0.984 4.897
Sc 2.439 0.984 1.598
Sc 0.000 4.392 4.845
Sc 0.000 4.392 1.650
Sc 0.000 1.864 3.247
Sc 2.439 3.512 0.000
Cr 2.439 3.782 3.247
Cr 0.000 1.594 0.000